# Ba6Na23Ag GGA-PBE optimized geometry
data_Ba6Na23Ag
_chemical_formula_sum 'Ba24 Na92 Ag4'
_cell_length_a 17.126
_cell_length_b 17.126
_cell_length_c 17.126
_cell_angle_alpha 90.00
_cell_angle_beta 90.00
_cell_angle_gamma 90.00
_symmetry_space_group_name_H-M 'F m -3 m'
_symmetry_Int_Tables_number 225
_symmetry_space_group_name_Hall '-F 4 2 3'
loop_
_atom_site_label
_atom_site_fract_x
_atom_site_fract_y
_atom_site_fract_z
Ba1 0.000 0.000 0.197
Na1 0.000 0.000 0.500
Na2 0.000 0.250 0.250
Na3 0.118 0.118 0.382
Na4 0.172 0.172 0.172
Ag1 0.000 0.000 0.000
# **Spin magnetization**: 0.0 μB per formula unit
# **Energy of formation from the pure elements**: -0.031 eV per atom
# **Calculated density**: 1.93 g cm⁻³

# Cr2PtWC GGA-PBE optimized geometry
data_Cr2PtWC
_chemical_formula_sum 'Cr2 Pt1 W1 C1'
_cell_length_a 3.898
_cell_length_b 3.898
_cell_length_c 4.100
_cell_angle_alpha 90.00
_cell_angle_beta 90.00
_cell_angle_gamma 90.00
_symmetry_space_group_name_H-M 'P 4/m m m'
_symmetry_Int_Tables_number 123
_symmetry_space_group_name_Hall '-P 4 2'
loop_
_atom_site_label
_atom_site_fract_x
_atom_site_fract_y
_atom_site_fract_z
Cr1 0.000 0.500 0.000
Pt1 0.000 0.000 0.500
W1 0.500 0.500 0.500
C1 0.500 0.500 0.000
# **Spin magnetization**: 0.0 μB per formula unit
# **Energy of formation from the pure elements**: -0.042 eV per atom
# **Calculated density**: 13.19 g cm⁻³

# Sr8P3SI4 GGA-PBE optimized geometry
data_Sr8P3SI4
_chemical_formula_sum 'Sr24 P9 S3 I12'
_cell_length_a 8.9983
_cell_length_b 8.9983
_cell_length_c 23.4682
_cell_angle_alpha 90.00
_cell_angle_beta 90.00
_cell_angle_gamma 120.00
_symmetry_space_group_name_H-M 'R -3 m'
_symmetry_Int_Tables_number 166
_symmetry_space_group_name_Hall '-R 3 2"'
loop_
_atom_site_label
_atom_site_fract_x
_atom_site_fract_y
_atom_site_fract_z
Sr1 0.0000 0.0000 0.2325
Sr2 0.0051 0.5025 0.7678
P1 0.0000 0.5000 0.5000
S1 0.0000 0.0000 0.5000
I1 0.0000 0.0000 0.0000
I2 0.0000 0.5000 0.0000
# **Spin magnetization**: 0.0 μB per formula unit
# **Calculated density**: 4.04 g cm⁻³
# **ΔE_f (raw)**: -1489 meV per atom

# CuHgN2F GGA-PBE optimized geometry
data_CuHgN2F
_chemical_formula_sum 'Cu1 Hg1 N2 F1'
_cell_length_a 3.787
_cell_length_b 3.787
_cell_length_c 4.417
_cell_angle_alpha 90.00
_cell_angle_beta 90.00
_cell_angle_gamma 90.00
_symmetry_space_group_name_H-M 'P 4/m m m'
_symmetry_Int_Tables_number 123
_symmetry_space_group_name_Hall '-P 4 2'
loop_
_atom_site_label
_atom_site_fract_x
_atom_site_fract_y
_atom_site_fract_z
Cu1 0.000 0.000 0.000
Hg1 0.500 0.500 0.500
N1 0.000 0.500 0.000
F1 0.000 0.000 0.500
# **ΔE to the lowest computed polymorph**: 0.0 meV per atom
# **Spin magnetization**: 2.2 μB per formula unit
# **Calculated density**: 8.15 g cm⁻³
# **ΔE_f (raw)**: 939 meV per atom